A relaxed structure of MgCr2Cl, computed with PBE. Values from VASP.

Cell and atoms, written as Quantum ESPRESSO input:
```
&SYSTEM
  ibrav = 0, nat = 4, ntyp = 3
/
ATOMIC_SPECIES
Cr 52.00 Cr.upf
Cl 35.45 Cl.upf
Mg 24.30 Mg.upf
ATOMIC_POSITIONS crystal
Cr 0.500 0.250 0.211
Cl 0.500 0.754 0.764
Mg 0.000 0.746 0.476
Cr 0.000 0.751 0.048
CELL_PARAMETERS angstrom
-2.402 1.045 1.547
1.258 -1.064 2.672
3.416 6.405 0.977
```

Energy relative to the elements, uncorrected in eV per formula unit: -0.06
Energy above the most stable polymorph in this dataset in kJ per mole of atoms: 0.0
Space-group type: Pm
DFT total energy in eV/atom: -5.687
Volume in Å³ per atom: 17.49
Crystal system: monoclinic